[1]
# PuHg3

A relaxed structure of PuHg3 (PBE-GGA, Alexandria).

Results
Energy of formation from the pure elements (eV per atom): -0.10
Symmetry: I4/mmm
E (eV/cell): -15.6
Magnetic moment (μB per formula unit): 5.74

abc: 5.2326 5.2326 5.1756
angles: 120.36 120.36 90.00
Closest atoms and distances in Å follow each position.
Positions (direct):
Hg 0.2500 0.7500 0.5000  4 Pu 3.18, 4 Hg 3.18
Pu 0.0000 0.0000 0.0000  8 Hg 3.18
Hg 0.7500 0.2500 0.5000  4 Pu 3.18, 4 Hg 3.18
Hg 0.5000 0.5000 0.0000  8 Hg 3.18

=====

[2]
# Al3HgBi

A relaxed structure of Al3HgBi (PBE-GGA, Alexandria).

Results
Energy of formation from the pure elements (eV per atom): 0.54
Symmetry: Pm-3m
E (eV/cell): -12.7
Magnetic moment (μB per formula unit): 0.00

abc: 5.0897 5.0897 5.0897
angles: 90.00 90.00 90.00
Closest atoms and distances in Å follow each position.
Positions (direct):
Bi 0.5000 0.5000 0.5000  12 Al 3.60
Al 0.5000 0.0000 0.0000  2 Hg 2.54
Hg 0.0000 0.0000 0.0000  6 Al 2.54
Al 0.0000 0.0000 0.5000  2 Hg 2.54
Al 0.0000 0.5000 0.0000  2 Hg 2.54

=====

[3]
# Tb12PmSc3

A relaxed structure of Tb12PmSc3 (PBE-GGA, Alexandria).

Results
Energy of formation from the pure elements (eV per atom): 0.04
Symmetry: P4/mmm
E (eV/cell): -78.7
Magnetic moment (μB per formula unit): 0.00

abc: 4.9719 4.9719 19.8090
angles: 90.00 90.00 90.00
Closest atoms and distances in Å follow each position.
Positions (direct):
Tb 0.0000 0.5000 0.6232  8 Tb 3.47-3.52, 4 Sc 3.48-3.49
Tb 0.5000 0.0000 0.1300  2 Sc 3.48, 8 Tb 3.50-3.58, 2 Pm 3.58
Tb 0.0000 0.5000 0.8700  2 Sc 3.48, 8 Tb 3.50-3.58, 2 Pm 3.58
Tb 0.0000 0.5000 0.1300  2 Sc 3.48, 8 Tb 3.50-3.58, 2 Pm 3.58
Tb 0.5000 0.5000 0.0000  4 Pm 3.52, 8 Tb 3.58
Sc 0.0000 0.0000 0.2533  12 Tb 3.48-3.52
Tb 0.5000 0.5000 0.5000  8 Tb 3.48, 4 Sc 3.52
Tb 0.5000 0.5000 0.2542  8 Tb 3.47-3.50, 4 Sc 3.52
Tb 0.5000 0.0000 0.3768  8 Tb 3.47-3.52, 4 Sc 3.48-3.49
Sc 0.0000 0.0000 0.5000  12 Tb 3.48-3.52
Tb 0.5000 0.5000 0.7458  8 Tb 3.47-3.50, 4 Sc 3.52
Tb 0.5000 0.0000 0.8700  2 Sc 3.48, 8 Tb 3.50-3.58, 2 Pm 3.58
Tb 0.0000 0.5000 0.3768  8 Tb 3.47-3.52, 4 Sc 3.48-3.49
Pm 0.0000 0.0000 0.0000  12 Tb 3.52-3.58
Sc 0.0000 0.0000 0.7467  12 Tb 3.48-3.52
Tb 0.5000 0.0000 0.6232  8 Tb 3.47-3.52, 4 Sc 3.48-3.49

=====

[4]
# YEr2Tm7

A relaxed structure of YEr2Tm7 (PBE-GGA, Alexandria).

Results
Energy of formation from the pure elements (eV per atom): 0.03
Symmetry: P-1
E (eV/cell): -46.6
Magnetic moment (μB per formula unit): 0.02

abc: 6.0578 7.8251 7.8331
angles: 90.02 74.99 58.86
Closest atoms and distances in Å follow each position.
Positions (direct):
Tm 0.9990 0.5990 0.7998  8 Tm 3.49-3.51, 3 Er 3.49-3.51, 1 Y 3.51
Er 0.5005 0.6994 0.5995  10 Tm 3.49-3.51, 1 Er 3.49, 1 Y 3.50
Tm 0.9998 0.7998 0.4014  7 Tm 3.49-3.50, 4 Er 3.49-3.50, 1 Y 3.51
Tm 0.0010 0.4010 0.2002  8 Tm 3.49-3.51, 3 Er 3.49-3.51, 1 Y 3.51
Tm 0.5000 0.5000 0.0000  8 Tm 3.49-3.51, 2 Y 3.50, 2 Er 3.50
Er 0.4995 0.3006 0.4005  10 Tm 3.49-3.51, 1 Er 3.49, 1 Y 3.50
Y 0.0000 0.0000 0.0000  10 Tm 3.50-3.51, 2 Er 3.50
Tm 0.5002 0.8997 0.2007  8 Tm 3.49-3.52, 2 Er 3.50, 2 Y 3.50
Tm 0.0002 0.2002 0.5986  7 Tm 3.49-3.50, 4 Er 3.49-3.50, 1 Y 3.51
Tm 0.4998 0.1003 0.7993  8 Tm 3.49-3.52, 2 Er 3.50, 2 Y 3.50

=====

[5]
# PuHf2Ga

A relaxed structure of PuHf2Ga (PBE-GGA, Alexandria).

Results
Energy of formation from the pure elements (eV per atom): -0.06
Symmetry: P4/mmm
E (eV/cell): -37.5
Magnetic moment (μB per formula unit): 5.26

abc: 3.2633 5.0115 5.0115
angles: 90.00 90.00 90.00
Closest atoms and distances in Å follow each position.
Positions (direct):
Hf 0.0000 0.5000 0.0000  4 Pu 2.99, 4 Ga 2.99, 2 Hf 3.26
Hf 0.0000 0.0000 0.5000  4 Pu 2.99, 4 Ga 2.99, 2 Hf 3.26
Pu 0.5000 0.5000 0.5000  8 Hf 2.99, 2 Pu 3.26
Ga 0.5000 0.0000 0.0000  8 Hf 2.99, 2 Ga 3.26

=====

[6]
# Rb2OsBr6Cl

A relaxed structure of Rb2OsBr6Cl (PBE-GGA, Alexandria).

Results
Symmetry: I4/mmm
E (eV/cell): -32.3
Magnetic moment (μB per formula unit): 3.00

abc: 8.0013 8.0013 8.0268
angles: 60.10 60.10 90.00
Closest atoms and distances in Å follow each position.
Positions (direct):
Os 0.0000 0.0000 0.0000  6 Br 2.50
Cl 0.5000 0.5000 0.0000  6 Br 3.15-3.19
Br 0.2199 0.2199 0.5602  1 Os 2.50
Br 0.7786 0.2214 0.0000  1 Os 2.50
Br 0.2214 0.7786 0.0000  1 Os 2.50
Rb 0.7500 0.2500 0.5000  12 Br 4.02-4.03
Br 0.7786 0.7786 0.0000  1 Os 2.50
Rb 0.2500 0.7500 0.5000  12 Br 4.02-4.03
Br 0.7801 0.7801 0.4398  1 Os 2.50
Br 0.2214 0.2214 0.0000  1 Os 2.50

=====

[7]
# RbAlAu3

A relaxed structure of RbAlAu3 (PBE-GGA, Alexandria).

Results
Energy of formation from the pure elements (eV per atom): -0.26
Symmetry: P1
E (eV/cell): -31.7
Magnetic moment (μB per formula unit): 0.00

abc: 5.4507 6.8920 7.1755
angles: 61.13 90.61 89.92
Closest atoms and distances in Å follow each position.
Positions (direct):
Au 0.8447 0.1614 0.0014  2 Al 2.62-2.63, 1 Au 2.77
Au 0.8451 0.3615 0.5015  2 Al 2.65
Au 0.8452 0.8629 0.5015  2 Al 2.65
Au 0.8449 0.5626 0.0020  2 Al 2.62-2.63, 1 Au 2.77
Rb 0.3447 0.5014 0.7219  11 Au 3.42-3.59, 1 Rb 3.51, 1 Al 3.63
Au 0.4944 0.7664 0.1952  3 Al 2.64-2.82, 1 Au 2.91
Rb 0.3452 0.2228 0.2810  11 Au 3.42-3.59, 1 Rb 3.51, 1 Al 3.63
Al 0.0116 0.7537 0.2181  7 Au 2.62-2.82
Al 0.6772 0.9700 0.7858  7 Au 2.62-2.82
Au 0.1946 0.9577 0.8079  3 Al 2.64-2.82, 1 Au 2.91

=====

[8]
# MnAg2Au3

A relaxed structure of MnAg2Au3 (PBE-GGA, Alexandria).

Results
Energy of formation from the pure elements (eV per atom): 0.07
Symmetry: C2/c
E (eV/cell): -48.6
Magnetic moment (μB per formula unit): 4.34

abc: 5.3590 5.5749 7.7845
angles: 110.98 88.28 94.81
Closest atoms and distances in Å follow each position.
Positions (direct):
Au 0.2700 0.0757 0.6465  5 Au 2.79-3.06, 2 Mn 2.79-2.83, 2 Ag 2.85-2.94
Au 0.2500 0.1501 0.3002  2 Mn 2.79, 6 Au 2.88-3.06, 4 Ag 2.92-2.94
Ag 0.4726 0.7423 0.9957  4 Ag 2.68-2.84, 4 Au 2.85-2.94, 1 Mn 2.89
Ag 0.5274 0.2577 0.0043  4 Ag 2.68-2.84, 4 Au 2.85-2.94, 1 Mn 2.89
Ag 0.9726 0.7466 0.0043  4 Ag 2.68-2.84, 4 Au 2.85-2.94, 1 Mn 2.89
Au 0.7700 0.4292 0.3535  5 Au 2.79-3.06, 2 Mn 2.79-2.83, 2 Ag 2.85-2.94
Au 0.2300 0.5708 0.6465  5 Au 2.79-3.06, 2 Mn 2.79-2.83, 2 Ag 2.85-2.94
Mn 0.7500 0.3429 0.6858  6 Au 2.79-2.83, 4 Ag 2.89-3.08
Ag 0.0274 0.2534 0.9957  4 Ag 2.68-2.84, 4 Au 2.85-2.94, 1 Mn 2.89
Au 0.7300 0.9243 0.3535  5 Au 2.79-3.06, 2 Mn 2.79-2.83, 2 Ag 2.85-2.94
Mn 0.2500 0.6571 0.3142  6 Au 2.79-2.83, 4 Ag 2.89-3.08
Au 0.7500 0.8499 0.6998  2 Mn 2.79, 6 Au 2.88-3.06, 4 Ag 2.92-2.94